Entry 1:
First-principles (PBE) data for crystalline Pm8Pr2Ho at its relaxed geometry, as listed in the Alexandria database.

Cell lengths 5.7618, 10.2601, 10.2601 Å; angles 40.60, 93.62, 93.62 degrees
Fractional positions:
Pr 0.7418 0.2835 0.2835
Pr 0.2582 0.7165 0.7165
Pm 0.2694 0.1365 0.6100
Pm 0.2340 0.5447 0.5447
Pm 0.7660 0.4553 0.4553
Pm 0.7721 0.8151 0.8151
Pm 0.7306 0.8635 0.3900
Pm 0.2279 0.1849 0.1849
Pm 0.7306 0.3900 0.8635
Pm 0.2694 0.6100 0.1365
Ho 0.0000 0.0000 0.0000

## Properties
DOS(E_F), states/eV/f.u.: 16.39
Offset from the most stable computed form, eV/atom: 0.150
Formation enthalpy at 0 K, meV per atom: 165

Entry 2:
First-principles (PBE) data for crystalline Mg5GaPb2 at its relaxed geometry, as listed in the Alexandria database.

Cell lengths 4.8964, 4.8964, 19.6646 Å; angles 90.00, 90.00, 120.00 degrees
Fractional positions:
Mg 0.0000 0.0000 0.6689
Mg 0.3333 0.6667 0.5575
Mg 0.3333 0.6667 0.7500
Mg 0.6667 0.3333 0.4425
Mg 0.6667 0.3333 0.0575
Mg 0.0000 0.0000 0.1689
Mg 0.6667 0.3333 0.2500
Mg 0.0000 0.0000 0.3311
Mg 0.3333 0.6667 0.9425
Mg 0.0000 0.0000 0.8311
Ga 0.6667 0.3333 0.7500
Ga 0.3333 0.6667 0.2500
Pb 0.3333 0.6667 0.0968
Pb 0.6667 0.3333 0.9032
Pb 0.6667 0.3333 0.5968
Pb 0.3333 0.6667 0.4032

## Properties
DOS(E_F), states/eV/f.u.: 2.29
Offset from the most stable computed form, eV/atom: 0.000
Formation enthalpy at 0 K, meV per atom: 0

Entry 3:
First-principles (PBE) data for crystalline TbZrTlZn at its relaxed geometry, as listed in the Alexandria database.

Cell lengths 5.0694, 5.0694, 5.0694 Å; angles 60.00, 60.00, 60.00 degrees
Fractional positions:
Tl 0.5000 0.5000 0.5000
Tb 0.7500 0.7500 0.7500
Zr 0.2500 0.2500 0.2500
Zn 0.0000 0.0000 0.0000

## Properties
DOS(E_F), states/eV/f.u.: 2.98
Formation enthalpy at 0 K, meV per atom: -168

Entry 4:
First-principles (PBE) data for crystalline La2BP4 at its relaxed geometry, as listed in the Alexandria database.

Cell lengths 4.1564, 4.1564, 8.7216 Å; angles 76.21, 76.21, 90.00 degrees
Fractional positions:
P 0.8240 0.8240 0.3521
P 0.1760 0.1760 0.6479
P 0.5000 0.0000 0.0000
P 0.0000 0.5000 0.0000
La 0.6431 0.6431 0.7137
La 0.3569 0.3569 0.2863
B 0.0000 0.0000 0.0000

## Properties
DOS(E_F), states/eV/f.u.: 4.61
Formation enthalpy at 0 K, meV per atom: -409

Entry 5:
First-principles (PBE) data for crystalline ZrPAu2 at its relaxed geometry, as listed in the Alexandria database.

Cell lengths 4.8948, 4.8948, 5.1667 Å; angles 60.62, 60.62, 45.67 degrees
Fractional positions:
Au 0.0146 0.0146 0.9955
Au 0.7962 0.7962 0.7761
P 0.4831 0.4831 0.3876
Zr 0.2061 0.2061 0.3408

## Properties
DOS(E_F), states/eV/f.u.: 2.41
Formation enthalpy at 0 K, meV per atom: -403

Entry 6:
First-principles (PBE) data for crystalline PmPr4Er2Tm at its relaxed geometry, as listed in the Alexandria database.

Cell lengths 5.1767, 5.1529, 11.3319 Å; angles 62.95, 90.00, 90.00 degrees
Fractional positions:
Pm 0.5000 0.5000 0.0000
Pr 0.0000 0.2470 0.2526
Pr 0.5000 0.2536 0.7471
Pr 0.0000 0.7530 0.7474
Pr 0.5000 0.7464 0.2529
Er 0.5000 0.0000 0.5000
Er 0.0000 0.0000 0.0000
Tm 0.0000 0.5000 0.5000

## Properties
DOS(E_F), states/eV/f.u.: 10.43
Formation enthalpy at 0 K, meV per atom: 17

Entry 7:
First-principles (PBE) data for crystalline MgBePt2 at its relaxed geometry, as listed in the Alexandria database.

Cell lengths 2.8077, 3.6520, 5.7501 Å; angles 90.00, 90.00, 90.00 degrees
Fractional positions:
Pt 0.0000 0.0000 0.9989
Pt 0.5000 0.5000 0.3120
Be 0.0000 0.0000 0.4252
Mg 0.5000 0.5000 0.7639

## Properties
DOS(E_F), states/eV/f.u.: 1.46
Formation enthalpy at 0 K, meV per atom: -544

Entry 8:
First-principles (PBE) data for crystalline ReRhBr2 at its relaxed geometry, as listed in the Alexandria database.

Cell lengths 3.2316, 3.2320, 6.4428 Å; angles 90.00, 90.00, 90.00 degrees
Fractional positions:
Rh 0.5000 0.5000 0.7500
Re 0.5000 0.5000 0.2500
Br 0.0000 0.0000 0.0060
Br 0.0000 0.0000 0.4940

## Properties
DOS(E_F), states/eV/f.u.: 3.59
Offset from the most stable computed form, eV/atom: 0.931

Look up the DOS(E_F) of the seventh one. 1.46 states/eV/f.u.